VASP calculation (PBE-GGA) on BeCr2Ir after structural relaxation.

Structure (POSCAR):
```
BeCr2Ir
1.0
-1.080 0.877 -2.213
1.391 -1.740 -1.368
-5.033 -4.541 0.658
Ir Be Cr
1 1 2
Cartesian
-1.103 -1.567 -1.626
-3.620 -3.837 -1.297
-4.911 -4.430 0.642
-2.639 -2.381 0.345
```

Output
Formation energy = -0.022 eV/atom
Density of states at the Fermi level = 2.79 states/eV per cell
Spin magnetization = 0.00 μB per formula unit



VASP calculation (PBE-GGA) on CaNdZn10 after structural relaxation.

Structure (POSCAR):
```
CaNdZn10
1.0
-3.084 0.253 2.936
-3.186 -3.038 -3.084
3.310 -7.670 4.137
Zn Ca Nd
10 1 1
Cartesian
-1.516 -2.498 1.721
0.174 -6.415 3.834
2.192 -5.079 2.739
1.146 -7.865 1.881
0.113 -3.709 3.537
1.118 -2.592 1.398
-1.021 -2.844 -0.828
-3.135 -1.393 -0.074
-1.443 -7.957 2.268
-3.133 -4.041 0.155
0.062 -5.354 0.527
0.000 0.000 0.000
```

Output
Formation energy = -0.259 eV/atom
Density of states at the Fermi level = 5.08 states/eV per cell
Spin magnetization = 0.00 μB per formula unit



VASP calculation (PBE-GGA) on ThPaGa2 after structural relaxation.

Structure (POSCAR):
```
ThPaGa2
1.0
3.308 0.000 0.000
0.000 3.308 0.000
0.000 0.000 8.488
Pa Ga Th
1 2 1
Cartesian
1.654 1.654 0.000
0.000 0.000 2.045
0.000 0.000 6.443
1.654 1.654 4.244
```

Output
Formation energy = -0.318 eV/atom
Density of states at the Fermi level = 4.91 states/eV per cell
Spin magnetization = 0.00 μB per formula unit



VASP calculation (PBE-GGA) on Os3AuBr after structural relaxation.

Structure (POSCAR):
```
Os3AuBr
1.0
-2.002 4.011 2.241
-4.579 -1.538 -1.337
-0.382 -2.581 4.279
Os Au Br
3 1 1
Cartesian
-2.290 -0.769 -0.668
-0.191 -1.291 2.140
-1.001 2.006 1.121
0.000 0.000 0.000
-3.481 -0.054 2.592
```

Output
Formation energy from raw total energies = 14.97 eV per formula unit
Density of states at the Fermi level = 4.09 states/eV per cell
Spin magnetization = 8.88 μB per formula unit



VASP calculation (PBE-GGA) on FeRh3Se after structural relaxation.

Structure (POSCAR):
```
FeRh3Se
1.0
-0.117 4.392 -1.055
0.883 -1.013 -4.314
-4.429 -0.318 -0.832
Fe Rh Se
1 3 1
Cartesian
-1.832 1.530 -3.100
-0.059 2.196 -0.527
0.442 -0.506 -2.157
-2.215 -0.159 -0.416
0.000 0.000 0.000
```

Output
Formation energy from raw total energies = 5.48 eV per formula unit
Density of states at the Fermi level = 12.08 states/eV per cell
Spin magnetization = 0.35 μB per formula unit



VASP calculation (PBE-GGA) on HfPtSe3 after structural relaxation.

Structure (POSCAR):
```
HfPtSe3
1.0
-0.457 -3.318 3.852
-1.916 -3.470 -3.216
4.709 -1.734 -0.935
Se Pt Hf
3 1 1
Cartesian
2.355 -0.867 -0.467
-0.958 -1.735 -1.608
-0.228 -1.659 1.926
1.168 -4.261 -0.149
0.000 0.000 0.000
```

Output
Formation energy from raw total energies = 1.23 eV per formula unit
Density of states at the Fermi level = 8.75 states/eV per cell
Spin magnetization = 0.03 μB per formula unit



VASP calculation (PBE-GGA) on BeHg2Sb after structural relaxation.

Structure (POSCAR):
```
BeHg2Sb
1.0
4.124 -0.003 -0.008
-1.993 5.726 0.016
0.138 1.472 3.845
Sb Hg Be
1 2 1
Cartesian
-0.928 3.599 1.930
0.000 0.000 0.000
2.131 0.735 1.919
1.065 2.862 0.004
```

Output
Formation energy from raw total energies = 1.77 eV per formula unit
Density of states at the Fermi level = 1.43 states/eV per cell
Spin magnetization = 0.00 μB per formula unit



VASP calculation (PBE-GGA) on Ce2AgAs after structural relaxation.

Structure (POSCAR):
```
Ce2AgAs
1.0
-0.063 0.564 3.702
-3.337 -1.688 0.201
3.199 -6.205 1.001
Ag Ce As
1 2 1
Cartesian
-0.101 -3.664 2.452
0.722 -1.400 0.226
2.477 -4.805 0.775
-1.700 -0.562 1.951
```

Output
Formation energy = -0.615 eV/atom
Density of states at the Fermi level = 12.54 states/eV per cell
Spin magnetization = 2.20 μB per formula unit



VASP calculation (PBE-GGA) on Ce3Se4 after structural relaxation.

Structure (POSCAR):
```
Ce3Se4
1.0
7.717 0.000 0.000
-2.572 7.276 0.000
-2.572 -3.638 6.301
Se Ce
8 6
Cartesian
2.182 3.086 5.346
3.743 3.638 0.000
-1.676 -0.716 3.151
0.896 1.267 2.195
-0.116 3.638 0.000
-2.962 2.922 3.151
3.469 -0.552 0.955
2.182 -2.371 4.106
5.788 1.364 0.788
1.929 4.093 2.363
-1.929 5.457 1.575
-0.643 -2.274 5.513
3.216 0.455 3.938
-0.643 1.819 4.726
```

Output
Formation energy from raw total energies = -12.93 eV per formula unit
Density of states at the Fermi level = 34.26 states/eV per cell
Spin magnetization = 4.02 μB per formula unit



VASP calculation (PBE-GGA) on BeInW2 after structural relaxation.

Structure (POSCAR):
```
BeInW2
1.0
4.319 0.000 0.000
0.000 2.767 0.003
0.000 1.360 5.323
In Be W
1 1 2
Cartesian
2.160 3.095 3.995
2.160 1.032 1.332
0.000 0.051 0.124
0.000 2.013 2.539
```

Output
Formation energy = 0.537 eV/atom
Density of states at the Fermi level = 1.69 states/eV per cell
Spin magnetization = 0.00 μB per formula unit



VASP calculation (PBE-GGA) on TlTcB2W after structural relaxation.

Structure (POSCAR):
```
TlTcB2W
1.0
-3.279 -2.373 -0.397
1.812 -1.679 -4.930
2.000 -3.062 1.778
W Tc B Tl
1 1 2 1
Cartesian
0.906 -0.840 -2.465
0.267 -3.557 -1.774
1.000 -1.531 0.889
-1.640 -1.186 -0.199
0.000 0.000 0.000
```

Output
Formation energy = 2.987 eV/atom
Density of states at the Fermi level = 4.94 states/eV per cell
Spin magnetization = 0.00 μB per formula unit



VASP calculation (PBE-GGA) on MnAu2Cl after structural relaxation.

Structure (POSCAR):
```
MnAu2Cl
1.0
6.421 0.009 -0.049
5.700 2.956 -0.049
1.523 0.373 4.092
Au Cl Mn
2 1 1
Cartesian
11.664 2.853 0.083
7.279 1.781 1.817
10.233 2.503 2.996
3.411 0.834 0.999
```

Output
Formation energy from raw total energies = -0.08 eV per formula unit
Density of states at the Fermi level = 1.42 states/eV per cell
Spin magnetization = 4.53 μB per formula unit